No. 1
An optimized crystal structure of LiBi2Pb2, computed with PBE.

## Properties
The value obtained for the energy above the most stable polymorph in this dataset is 0 meV/atom. As for the crystal system: monoclinic. For the formation energy, the calculation gives -94 meV/atom. As for the space-group type: P2_1/m, No. 11. The calculation puts the total energy at -3.512 eV/atom.

extended XYZ file:
```
10
Lattice="5.318 0.000 0.000 0.000 5.354 0.768 0.000 -0.614 10.950" Properties=species:S:1:pos:R:3 pbc="T T T"
Pb 1.330 1.384 3.432
Pb 3.989 3.356 8.286
Pb 1.330 0.707 7.949
Pb 3.989 4.034 3.769
Bi 1.330 3.142 10.304
Bi 3.989 0.897 6.080
Bi 3.989 1.598 1.413
Bi 1.330 3.843 5.638
Li 1.330 0.866 0.252
Li 3.989 3.874 11.466
```

---

No. 2
An optimized crystal structure of BaNa2SrPd, computed with PBE.

## Properties
The value obtained for the energy above the most stable polymorph in this dataset is 0 meV/atom. As for the crystal system: tetragonal. For the formation energy, the calculation gives -49 meV/atom. As for the space-group type: P4/mmm, No. 123. The calculation puts the total energy at -2.336 eV/atom.

extended XYZ file:
```
5
Lattice="5.854 0.000 0.000 0.000 5.854 0.000 0.000 0.000 5.775" Properties=species:S:1:pos:R:3 pbc="T T T"
Sr 0.000 0.000 2.888
Pd 0.000 0.000 0.000
Na 2.927 0.000 0.000
Na 0.000 2.927 0.000
Ba 2.927 2.927 2.888
```

---

No. 3
An optimized crystal structure of BeCuF5, computed with PBE.

## Properties
As for the crystal system: monoclinic. The calculation puts the uncorrected formation energy at -48.932 kcal/mol of atoms. As for the space-group type: C2/c, No. 15. The calculation puts the total energy at -4.576 eV/atom.

extended XYZ file:
```
14
Lattice="4.786 0.063 -1.828 -0.676 4.739 -1.827 -0.043 -0.051 7.293" Properties=species:S:1:pos:R:3 pbc="T T T"
Be 0.292 1.764 4.556
Be 3.775 2.987 -0.918
F 0.527 3.225 0.840
F 1.021 1.264 5.844
F 0.899 1.121 3.268
F 3.540 1.526 2.798
F 3.168 3.630 0.370
F 3.714 1.421 -0.848
F 3.046 3.487 -2.206
F 2.184 4.306 2.728
F 0.353 3.331 4.485
F 1.883 0.446 0.909
Cu 2.393 0.032 -0.914
Cu 2.371 0.006 2.732
```